Computed, not measured: a relaxed structure of Cs2KRb5 at the GGA-PBE level of DFT.

Output
The total energy comes out at -0.864 eV/atom. The magnetic moment comes out at 0.00 Bohr magnetons per cell. For the calculated formation energy, the calculation gives 0.09 eV per atom.

Unit cell a=9.5722 b=9.5722 c=20.0910 alpha=90.00 beta=90.00 gamma=90.00
Closest atoms and distances in Å follow each position.
Space group I4mm (No. 107)
Inequivalent atoms, fractional coordinates:
Cs 0.0000 0.5000 0.0000 [4 per cell]  2 K 5.17, 2 Rb 5.23
K 0.0000 0.0000 0.4033 [2 per cell]  5 Rb 4.06-4.44
Rb 0.0000 0.0000 0.6051 [2 per cell]  1 K 4.06
Rb 0.2500 0.2500 0.2599 [8 per cell]  1 K 4.44, 5 Rb 4.60-4.79

***

Computed, not measured: a relaxed structure of Cs6K2Rb at the GGA-PBE level of DFT.

Output
The total energy comes out at -0.896 eV/atom. The magnetic moment comes out at 0.00 Bohr magnetons per cell. For the calculated formation energy, the calculation gives 0.02 eV per atom.

Unit cell a=24.4322 b=5.1180 c=17.6049 alpha=90.00 beta=120.86 gamma=90.00
Closest atoms and distances in Å follow each position.
Space group C2/m (No. 12)
Inequivalent atoms, fractional coordinates:
Cs 0.0462 0.0000 0.2406 [4 per cell]  9 Cs 5.12-5.70, 2 K 5.13, 1 Rb 5.24
Cs 0.1477 0.5000 0.0500 [4 per cell]  3 K 4.80-5.15, 3 Cs 5.12-5.19
Cs 0.2238 0.0000 0.6066 [4 per cell]  1 Rb 4.79, 2 K 5.03, 5 Cs 5.12-5.21
K 0.1406 0.5000 0.7724 [4 per cell]  7 Cs 4.80-5.15, 2 Rb 4.94, 2 K 5.12
Rb 0.0000 0.0000 0.5000 [2 per cell]  4 Cs 4.79-5.24, 4 K 4.94, 2 Rb 5.12

***

Computed, not measured: a relaxed structure of CsK3Rb5 at the GGA-PBE level of DFT.

Output
The total energy comes out at -0.911 eV/atom. The magnetic moment comes out at 0.00 Bohr magnetons per cell. For the calculated formation energy, the calculation gives 0.09 eV per atom.

Unit cell a=17.4641 b=11.2856 c=17.6352 alpha=90.00 beta=95.26 gamma=90.00
Closest atoms and distances in Å follow each position.
Space group C2/m (No. 12)
Inequivalent atoms, fractional coordinates:
Cs 0.1311 0.0000 0.2725 [4 per cell]  3 K 4.80-5.33, 5 Rb 5.11-5.33
K 0.0000 0.0000 0.0000 [2 per cell]  2 Rb 3.67
K 0.0000 0.0000 0.5000 [2 per cell]  2 K 4.42, 2 Cs 4.80
K 0.1120 0.5000 0.2163 [4 per cell]  1 K 4.40, 3 Rb 4.56-4.57
K 0.2487 0.5000 0.4384 [4 per cell]  2 K 4.40-4.42, 1 Rb 4.59
Rb 0.0000 0.3248 0.0000 [4 per cell]  1 K 3.67, 1 Rb 3.95
Rb 0.0666 0.5000 0.6106 [4 per cell]  3 Rb 4.36-4.59, 2 K 4.56-4.59
Rb 0.1403 0.2093 0.7845 [8 per cell]  5 Rb 4.59-5.03, 2 K 4.93-5.12
Rb 0.2462 0.5000 0.9797 [4 per cell]  1 K 4.41, 2 Rb 4.78

***

- Number 1 is which compound?
  Cs2KRb5